[1]
VASP calculation (meta-GGA SCAN) on a crystal of Cs2HfSiBi relaxed with PBEsol.

Values from the calculation:
The value obtained for the uncorrected energy is -44.5879 eV per atom. The value obtained for the energy relative to the elements, uncorrected is 0.790 eV per atom.

Cell: 6.602 6.602 5.049 Å, 90.00 90.00 90.00°
Space group P4/mmm (No. 123)
One atom of each set of equivalent atoms:
Cs1 0.000 0.500 0.000 [2 per cell]
Hf1 0.000 0.000 0.500 [1 per cell]
Si1 0.000 0.000 0.000 [1 per cell]
Bi1 0.500 0.500 0.500 [1 per cell]

[2]
VASP calculation (meta-GGA SCAN) on a crystal of Cs2HgBi2 relaxed with PBEsol.

Values from the calculation:
The value obtained for the uncorrected energy is -60.5213 eV per atom. For the calculated formation energy, the calculation gives -332 meV/atom.

Cell: 7.948 7.948 6.325 Å, 90.00 90.00 90.00°
Space group P4/mbm (No. 127)
One atom of each set of equivalent atoms:
Cs1 0.166 0.334 0.000 [4 per cell]
Hg1 0.000 0.000 0.500 [2 per cell]
Bi1 0.139 0.639 0.500 [4 per cell]

[3]
VASP calculation (meta-GGA SCAN) on a crystal of Cs2Hg2Bi relaxed with PBEsol.

Values from the calculation:
The value obtained for the uncorrected energy is -58.4639 eV per atom. For the calculated formation energy, the calculation gives -357 meV/atom. Its energy above the most stable polymorph in this dataset is 0.0 meV/atom.

Cell: 8.137 8.137 5.715 Å, 90.00 90.00 90.00°
Space group P4/mbm (No. 127)
One atom of each set of equivalent atoms:
Cs1 0.177 0.323 0.000 [4 per cell]
Hg1 0.131 0.631 0.500 [4 per cell]
Bi1 0.000 0.000 0.500 [2 per cell]

[4]
VASP calculation (meta-GGA SCAN) on a crystal of CsHg2Bi relaxed with PBEsol.

Values from the calculation:
The value obtained for the uncorrected energy is -63.3678 eV per atom. For the calculated formation energy, the calculation gives -187 meV/atom.

Cell: 5.801 5.801 20.842 Å, 90.00 90.00 90.00°
Space group I4_1/amd (No. 141, origin choice 2)
One atom of each set of equivalent atoms:
Cs1 0.000 0.250 0.375 [4 per cell]
Hg1 0.000 0.000 0.000 [8 per cell]
Bi1 0.000 0.250 0.875 [4 per cell]

[5]
VASP calculation (meta-GGA SCAN) on a crystal of CsHg3Bi relaxed with PBEsol.

Values from the calculation:
The value obtained for the uncorrected energy is -63.6400 eV per atom. For the calculated formation energy, the calculation gives 538 meV/atom.

Cell: 6.491 6.491 6.491 Å, 90.00 90.00 90.00°
Space group Pm-3m (No. 221)
One atom of each set of equivalent atoms:
Cs1 0.000 0.000 0.000 [1 per cell]
Hg1 0.000 0.000 0.500 [3 per cell]
Bi1 0.500 0.500 0.500 [1 per cell]

[6]
VASP calculation (meta-GGA SCAN) on a crystal of Cs2Hg2Bi relaxed with PBEsol.

Values from the calculation:
The value obtained for the uncorrected energy is -58.4395 eV per atom. For the calculated formation energy, the calculation gives -333 meV/atom. Its energy above the most stable polymorph in this dataset is 24.4 meV/atom.

Cell: 7.174 7.174 8.772 Å, 90.00 90.00 90.00°
Space group I4/mmm (No. 139)
One atom of each set of equivalent atoms:
Cs1 0.000 0.500 0.250 [4 per cell]
Hg1 0.000 0.000 0.164 [4 per cell]
Bi1 0.000 0.000 0.500 [2 per cell]

[7]
VASP calculation (meta-GGA SCAN) on a crystal of CsBi2I relaxed with PBEsol.

Values from the calculation:
The value obtained for the uncorrected energy is -57.5968 eV per atom. The value obtained for the energy relative to the elements, uncorrected is 0.331 eV per atom. Its energy above the most stable polymorph in this dataset is 668.2 meV/atom.

Cell: 8.332 8.332 8.332 Å, 90.00 90.00 90.00°
Space group Fm-3m (No. 225)
One atom of each set of equivalent atoms:
Cs1 0.000 0.000 0.000 [4 per cell]
Bi1 0.250 0.250 0.250 [8 per cell]
I1 0.000 0.000 0.500 [4 per cell]

[8]
VASP calculation (meta-GGA SCAN) on a crystal of CsBi2I relaxed with PBEsol.

Values from the calculation:
The value obtained for the uncorrected energy is -58.2650 eV per atom. The value obtained for the energy relative to the elements, uncorrected is -0.337 eV per atom. Its energy above the most stable polymorph in this dataset is 0.0 meV/atom.

Cell: 4.953 4.953 29.200 Å, 90.00 90.00 90.00°
Space group I-42d (No. 122)
One atom of each set of equivalent atoms:
Cs1 0.000 0.000 0.000 [4 per cell]
Bi1 0.175 0.750 0.625 [8 per cell]
I1 0.000 0.000 0.500 [4 per cell]

[9]
VASP calculation (meta-GGA SCAN) on a crystal of Cs2InBiI6 relaxed with PBEsol.

Values from the calculation:
The value obtained for the uncorrected energy is -41.7740 eV per atom. The value obtained for the energy relative to the elements, uncorrected is -0.970 eV per atom.

Cell: 12.351 12.351 12.351 Å, 90.00 90.00 90.00°
Space group Fm-3m (No. 225)
One atom of each set of equivalent atoms:
Cs1 0.250 0.250 0.250 [8 per cell]
In1 0.000 0.000 0.000 [4 per cell]
Bi1 0.000 0.000 0.500 [4 per cell]
I1 0.000 0.000 0.253 [24 per cell]

[10]
VASP calculation (meta-GGA SCAN) on a crystal of Cs2LiBiI6 relaxed with PBEsol.

Values from the calculation:
The value obtained for the uncorrected energy is -38.8326 eV per atom. The value obtained for the energy relative to the elements, uncorrected is -1.129 eV per atom.

Cell: 11.890 11.890 11.890 Å, 90.00 90.00 90.00°
Space group Fm-3m (No. 225)
One atom of each set of equivalent atoms:
Cs1 0.250 0.250 0.250 [8 per cell]
Li1 0.000 0.000 0.000 [4 per cell]
Bi1 0.000 0.000 0.500 [4 per cell]
I1 0.000 0.000 0.244 [24 per cell]

[11]
VASP calculation (meta-GGA SCAN) on a crystal of Cs2NaBiI6 relaxed with PBEsol.

Values from the calculation:
The value obtained for the uncorrected energy is -39.0296 eV per atom. The value obtained for the energy relative to the elements, uncorrected is -1.143 eV per atom.

Cell: 12.195 12.195 12.195 Å, 90.00 90.00 90.00°
Space group Fm-3m (No. 225)
One atom of each set of equivalent atoms:
Cs1 0.250 0.250 0.250 [8 per cell]
Na1 0.000 0.000 0.000 [4 per cell]
Bi1 0.000 0.000 0.500 [4 per cell]
I1 0.000 0.000 0.251 [24 per cell]

[12]
VASP calculation (meta-GGA SCAN) on a crystal of Cs2TlBiI6 relaxed with PBEsol.

Values from the calculation:
The value obtained for the uncorrected energy is -45.6946 eV per atom. The value obtained for the energy relative to the elements, uncorrected is -0.994 eV per atom.

Cell: 12.486 12.486 12.486 Å, 90.00 90.00 90.00°
Space group Fm-3m (No. 225)
One atom of each set of equivalent atoms:
Cs1 0.250 0.250 0.250 [8 per cell]
Tl1 0.000 0.000 0.000 [4 per cell]
Bi1 0.000 0.000 0.500 [4 per cell]
I1 0.000 0.000 0.257 [24 per cell]

Among the records above, which one has the highest uncorrected energy?
Cs2LiBiI6

Among the records above, which one has the highest uncorrected energy?
Cs2LiBiI6

uncorrected energy of number 10 (Cs2LiBiI6)?
-38.8326 eV per atom